# 1
DFT (PBE) results for a relaxed structure of FeBiPd2Br.

Calculated values
- total moment (μB per atom) = 0.013
- uncorrected formation energy (eV per atom) = 0.7378
- E_tot (eV/atom) = -4.143

Cell lengths 4.897, 4.897, 4.331 Å; angles 90.00, 90.00, 90.00 degrees
Atoms (fractional coordinates):
Fe  0.000  0.000  0.000
Bi  0.500  0.500  0.000
Pd  0.000  0.500  0.500
Pd  0.500  0.000  0.500
Br  0.000  0.000  0.500

=====

# 2
DFT (PBE) results for a relaxed structure of SrTlRh.

Calculated values
- total moment (μB per atom) = 0.000
- E_tot (eV/atom) = -3.337
- ΔE_f (eV per atom) = 0.463

Cell lengths 5.041, 5.041, 5.041 Å; angles 60.00, 60.00, 60.00 degrees
Atoms (fractional coordinates):
Sr  0.000  0.000  0.000
Tl  0.750  0.750  0.750
Rh  0.250  0.250  0.250

=====

# 3
DFT (PBE) results for a relaxed structure of CdGa2Hg8.

Calculated values
- total moment (μB per atom) = 0.000
- E_tot (eV/atom) = -0.803
- ΔE_f (eV per atom) = 0.050

Cell lengths 11.753, 11.753, 6.989 Å; angles 103.36, 103.36, 17.25 degrees
Atoms (fractional coordinates):
Cd  0.000  0.000  0.000
Ga  0.259  0.259  0.854
Ga  0.741  0.741  0.146
Hg  0.094  0.094  0.736
Hg  0.140  0.140  0.173
Hg  0.312  0.312  0.438
Hg  0.456  0.456  0.642
Hg  0.544  0.544  0.358
Hg  0.688  0.688  0.562
Hg  0.860  0.860  0.827
Hg  0.906  0.906  0.264

=====

# 4
DFT (PBE) results for a relaxed structure of Ac2Tb2Dy.

Calculated values
- total moment (μB per atom) = 0.000
- E_tot (eV/atom) = -3.924
- ΔE_f (eV per atom) = 0.492
- ΔE to the lowest computed polymorph (meV per atom) = 424

Cell lengths 8.944, 8.944, 8.944 Å; angles 148.14, 148.14, 45.68 degrees
Atoms (fractional coordinates):
Ac  0.250  0.750  0.500
Ac  0.750  0.250  0.500
Tb  0.092  0.092  0.000
Tb  0.908  0.908  0.000
Dy  0.500  0.500  0.000